Entry 1:
Material: Co2SnPbO6
Method: DFT, GGA+U
State: relaxed

Structure (CIF):
```
data_Co2SnPbO6
_chemical_formula_sum 'Co6 Sn3 Pb3 O18'
_cell_length_a 5.3327
_cell_length_b 5.3327
_cell_length_c 14.4310
_cell_angle_alpha 90.00
_cell_angle_beta 90.00
_cell_angle_gamma 120.00
_symmetry_space_group_name_H-M 'R 3'
_symmetry_Int_Tables_number 146
_symmetry_space_group_name_Hall 'R 3'
loop_
_atom_site_label
_atom_site_fract_x
_atom_site_fract_y
_atom_site_fract_z
Co1 0.0000 0.0000 0.0000
Co2 0.0000 0.0000 0.4796
Sn1 0.0000 0.0000 0.7863
Pb1 0.0000 0.0000 0.2645
O1 0.0425 0.6813 0.0633
O2 0.0780 0.3364 0.5511
```

Summary:
The value obtained for the spin magnetization is 8.12 Bohr magnetons per cell.


Entry 2:
Material: Sr2CoPbO6
Method: DFT, GGA+U
State: relaxed

Structure (CIF):
```
data_Sr2CoPbO6
_chemical_formula_sum 'Sr12 Co6 Pb6 O36'
_cell_length_a 5.6333
_cell_length_b 5.6333
_cell_length_c 31.2840
_cell_angle_alpha 90.00
_cell_angle_beta 90.00
_cell_angle_gamma 120.00
_symmetry_space_group_name_H-M 'R -3 m'
_symmetry_Int_Tables_number 166
_symmetry_space_group_name_Hall '-R 3 2"'
loop_
_atom_site_label
_atom_site_fract_x
_atom_site_fract_y
_atom_site_fract_z
Sr1 0.0000 0.0000 0.1395
Sr2 0.0000 0.0000 0.3035
Co1 0.0000 0.0000 0.0000
Co2 0.0000 0.0000 0.5000
Pb1 0.0000 0.0000 0.4116
O1 0.0061 0.5031 0.7017
O2 0.0217 0.5109 0.1309
```

Summary:
The value obtained for the spin magnetization is 8.68 Bohr magnetons per cell.


Entry 3:
Material: Sr2CoPbO5
Method: DFT, GGA+U
State: relaxed

Structure (CIF):
```
data_Sr2CoPbO5
_chemical_formula_sum 'Sr8 Co4 Pb4 O20'
_cell_length_a 3.4650
_cell_length_b 14.1922
_cell_length_c 11.0502
_cell_angle_alpha 90.00
_cell_angle_beta 90.00
_cell_angle_gamma 90.00
_symmetry_space_group_name_H-M 'C m c 21'
_symmetry_Int_Tables_number 36
loop_
_symmetry_equiv_pos_as_xyz
'x,y,z'
'-x,-y,z+1/2'
'-x,y,z'
'x,-y,z+1/2'
'x+1/2,y+1/2,z'
'-x+1/2,-y+1/2,z+1/2'
'-x+1/2,y+1/2,z'
'x+1/2,-y+1/2,z+1/2'
loop_
_atom_site_label
_atom_site_fract_x
_atom_site_fract_y
_atom_site_fract_z
Sr1 0.0000 0.0904 0.0000
Sr2 0.0000 0.1352 0.6475
Co1 0.0000 0.4576 0.7696
Pb1 0.0000 0.2125 0.3581
O1 0.0000 0.0538 0.3576
O2 0.0000 0.2772 0.9965
O3 0.0000 0.3124 0.7285
O4 0.0000 0.3638 0.3305
O5 0.0000 0.4930 0.1098
```

Summary:
The value obtained for the spin magnetization is 12.00 Bohr magnetons per cell.


Entry 4:
Material: SrCoPb2O4
Method: DFT, GGA+U
State: relaxed

Structure (CIF):
```
data_SrCoPb2O4
_chemical_formula_sum 'Sr4 Co4 Pb8 O16'
_cell_length_a 3.5039
_cell_length_b 12.0509
_cell_length_c 12.6348
_cell_angle_alpha 90.00
_cell_angle_beta 90.00
_cell_angle_gamma 90.00
_symmetry_space_group_name_H-M 'C m c m'
_symmetry_Int_Tables_number 63
_symmetry_space_group_name_Hall '-C 2c 2'
loop_
_atom_site_label
_atom_site_fract_x
_atom_site_fract_y
_atom_site_fract_z
Sr1 0.0000 0.0954 0.2500
Co1 0.0000 0.1751 0.7500
Pb1 0.0000 0.3660 0.0402
O1 0.0000 0.0000 0.0000
O2 0.0000 0.2927 0.6399
O3 0.0000 0.4209 0.2500
```

Summary:
The value obtained for the spin magnetization is 11.97 Bohr magnetons per cell.


| no. | density (Mg/m³) | total energy (eV per atom) |
| --- | --- | --- |
| 1 | 7.57 | -5.87 |
| 2 | 6.23 | -5.74 |
| 3 | 6.37 | -5.90 |
| 4 | 7.78 | -5.61 |